PBE LiSm2GaPt6, relaxed; crystal system = monoclinic; DFT formation energy = -758 meV per atom; total magnetic moment = 0.00 μB/f.u.; V = 22.0 Å³/atom
1.0
8.451 -0.018 1.986
0.006 5.618 0.019
5.656 2.781 5.976
Li Sm Ga Pt
1 2 1 6
Direct
0.000 0.000 0.000
0.202 0.798 0.404
0.798 0.202 0.596
0.500 0.500 0.000
0.252 0.747 0.016
0.748 0.763 0.984
0.238 0.253 0.494
0.748 0.253 0.984
0.252 0.237 0.016
0.762 0.747 0.506

PBE Mg2Ni3Sn2, relaxed; crystal system = triclinic; DFT formation energy = -231 meV per atom; total magnetic moment = 0.00 μB/f.u.; V = 16.7 Å³/atom
1.0
-4.077 -1.575 0.405
1.657 0.954 -3.985
4.616 -5.788 0.538
Mg Ni Sn
2 3 2
Direct
0.263 0.131 0.393
0.737 0.869 0.607
0.000 0.000 0.000
0.516 0.261 0.783
0.484 0.739 0.217
0.781 0.389 0.168
0.219 0.611 0.832